Record 1
Entry from Alexandria: a PBEsol-optimized structure of SrMg30VO32 (SCAN).

Properties
* SG: P4/mmm (123)
* D(E_F): 0.00 states/eV per atom
* uncorrected formation energy: -2945 meV per atom
* total DFT energy (no corrections): -576.9 eV for the cell shown

a b c (Å): 8.523 8.523 8.520
angles (deg): 90.00 90.00 90.00
Sites, in units of the cell vectors:
Sr  0.000  0.000  0.000
Mg  0.000  0.000  0.500
Mg  0.000  0.255  0.255
Mg  0.000  0.255  0.745
Mg  0.000  0.500  0.000
Mg  0.000  0.500  0.500
Mg  0.000  0.745  0.255
Mg  0.000  0.745  0.745
Mg  0.251  0.251  0.500
Mg  0.251  0.500  0.250
Mg  0.251  0.500  0.750
Mg  0.251  0.749  0.500
Mg  0.255  0.000  0.255
Mg  0.255  0.000  0.745
Mg  0.255  0.255  0.000
Mg  0.255  0.745  0.000
Mg  0.500  0.000  0.000
Mg  0.500  0.000  0.500
Mg  0.500  0.251  0.250
Mg  0.500  0.251  0.750
Mg  0.500  0.500  0.500
Mg  0.500  0.749  0.250
Mg  0.500  0.749  0.750
Mg  0.745  0.000  0.255
Mg  0.745  0.000  0.745
Mg  0.745  0.255  0.000
Mg  0.745  0.745  0.000
Mg  0.749  0.251  0.500
Mg  0.749  0.500  0.250
Mg  0.749  0.500  0.750
Mg  0.749  0.749  0.500
V  0.500  0.500  0.000
O  0.000  0.000  0.270
O  0.000  0.000  0.730
O  0.000  0.254  0.500
O  0.000  0.270  0.000
O  0.000  0.500  0.254
O  0.000  0.500  0.746
O  0.000  0.730  0.000
O  0.000  0.746  0.500
O  0.250  0.250  0.250
O  0.250  0.250  0.750
O  0.250  0.500  0.000
O  0.250  0.750  0.250
O  0.250  0.750  0.750
O  0.251  0.500  0.500
O  0.254  0.000  0.500
O  0.270  0.000  0.000
O  0.500  0.000  0.254
O  0.500  0.000  0.746
O  0.500  0.250  0.000
O  0.500  0.251  0.500
O  0.500  0.500  0.253
O  0.500  0.500  0.747
O  0.500  0.749  0.500
O  0.500  0.750  0.000
O  0.730  0.000  0.000
O  0.746  0.000  0.500
O  0.749  0.500  0.500
O  0.750  0.250  0.250
O  0.750  0.250  0.750
O  0.750  0.500  0.000
O  0.750  0.750  0.250
O  0.750  0.750  0.750

Record 2
Entry from Alexandria: a PBEsol-optimized structure of SrMgV2O7 (SCAN).

Properties
* SG: P2_1/c (14)
* D(E_F): 0.00 states/eV per atom
* uncorrected formation energy: -2933 meV per atom
* total DFT energy (no corrections): -1104.8 eV for the cell shown

a b c (Å): 6.799 14.814 11.272
angles (deg): 90.00 99.01 90.00
Sites, in units of the cell vectors:
Sr  0.084  0.006  0.240
Sr  0.084  0.494  0.740
Sr  0.343  0.124  0.978
Sr  0.343  0.376  0.478
Sr  0.657  0.624  0.522
Sr  0.657  0.876  0.022
Sr  0.916  0.506  0.260
Sr  0.916  0.994  0.760
Mg  0.009  0.245  0.248
Mg  0.009  0.255  0.748
Mg  0.360  0.675  0.923
Mg  0.360  0.825  0.423
Mg  0.640  0.175  0.577
Mg  0.640  0.325  0.077
Mg  0.991  0.745  0.252
Mg  0.991  0.755  0.752
V  0.131  0.136  0.520
V  0.131  0.364  0.020
V  0.154  0.637  0.520
V  0.154  0.863  0.020
V  0.409  0.512  0.180
V  0.409  0.988  0.680
V  0.483  0.700  0.201
V  0.483  0.800  0.701
V  0.517  0.200  0.299
V  0.517  0.300  0.799
V  0.591  0.012  0.320
V  0.591  0.488  0.820
V  0.846  0.137  0.980
V  0.846  0.363  0.480
V  0.869  0.636  0.980
V  0.869  0.864  0.480
O  0.004  0.145  0.114
O  0.004  0.355  0.614
O  0.008  0.647  0.631
O  0.008  0.853  0.131
O  0.036  0.141  0.372
O  0.036  0.359  0.872
O  0.047  0.658  0.888
O  0.047  0.842  0.388
O  0.225  0.028  0.551
O  0.225  0.472  0.051
O  0.255  0.533  0.539
O  0.255  0.967  0.039
O  0.283  0.018  0.790
O  0.283  0.482  0.290
O  0.307  0.744  0.276
O  0.307  0.756  0.776
O  0.316  0.235  0.797
O  0.316  0.265  0.297
O  0.325  0.209  0.549
O  0.325  0.291  0.049
O  0.347  0.715  0.538
O  0.347  0.785  0.038
O  0.395  0.618  0.086
O  0.395  0.882  0.586
O  0.405  0.561  0.828
O  0.405  0.939  0.328
O  0.430  0.102  0.215
O  0.430  0.398  0.715
O  0.570  0.602  0.285
O  0.570  0.898  0.785
O  0.595  0.061  0.672
O  0.595  0.439  0.172
O  0.605  0.118  0.414
O  0.605  0.382  0.914
O  0.653  0.215  0.962
O  0.653  0.285  0.462
O  0.675  0.709  0.951
O  0.675  0.791  0.451
O  0.684  0.735  0.703
O  0.684  0.765  0.203
O  0.693  0.244  0.224
O  0.693  0.256  0.724
O  0.717  0.518  0.710
O  0.717  0.982  0.210
O  0.745  0.033  0.961
O  0.745  0.467  0.461
O  0.775  0.528  0.949
O  0.775  0.972  0.449
O  0.953  0.158  0.612
O  0.953  0.342  0.112
O  0.964  0.641  0.128
O  0.964  0.859  0.628
O  0.992  0.147  0.869
O  0.992  0.353  0.369
O  0.996  0.645  0.386
O  0.996  0.855  0.886

Record 3
Entry from Alexandria: a PBEsol-optimized structure of SrMg30ZnO32 (SCAN).

Properties
* SG: P4/mmm (123)
* D(E_F): 0.00 states/eV per atom
* uncorrected formation energy: -2924 meV per atom
* total DFT energy (no corrections): -571.5 eV for the cell shown

a b c (Å): 8.519 8.519 8.528
angles (deg): 90.00 90.00 90.00
Sites, in units of the cell vectors:
Sr  0.000  0.000  0.000
Mg  0.000  0.000  0.500
Mg  0.000  0.255  0.255
Mg  0.000  0.255  0.745
Mg  0.000  0.500  0.000
Mg  0.000  0.500  0.500
Mg  0.000  0.745  0.255
Mg  0.000  0.745  0.745
Mg  0.251  0.251  0.500
Mg  0.251  0.500  0.251
Mg  0.251  0.500  0.749
Mg  0.251  0.749  0.500
Mg  0.255  0.000  0.255
Mg  0.255  0.000  0.745
Mg  0.255  0.255  0.000
Mg  0.255  0.745  0.000
Mg  0.500  0.000  0.000
Mg  0.500  0.000  0.500
Mg  0.500  0.251  0.251
Mg  0.500  0.251  0.749
Mg  0.500  0.500  0.500
Mg  0.500  0.749  0.251
Mg  0.500  0.749  0.749
Mg  0.745  0.000  0.255
Mg  0.745  0.000  0.745
Mg  0.745  0.255  0.000
Mg  0.745  0.745  0.000
Mg  0.749  0.251  0.500
Mg  0.749  0.500  0.251
Mg  0.749  0.500  0.749
Mg  0.749  0.749  0.500
Zn  0.500  0.500  0.000
O  0.000  0.000  0.270
O  0.000  0.000  0.730
O  0.000  0.254  0.500
O  0.000  0.270  0.000
O  0.000  0.500  0.253
O  0.000  0.500  0.747
O  0.000  0.730  0.000
O  0.000  0.746  0.500
O  0.250  0.250  0.250
O  0.250  0.250  0.750
O  0.250  0.750  0.250
O  0.250  0.750  0.750
O  0.251  0.500  0.500
O  0.252  0.500  0.000
O  0.254  0.000  0.500
O  0.270  0.000  0.000
O  0.500  0.000  0.253
O  0.500  0.000  0.747
O  0.500  0.251  0.500
O  0.500  0.252  0.000
O  0.500  0.500  0.255
O  0.500  0.500  0.745
O  0.500  0.748  0.000
O  0.500  0.749  0.500
O  0.730  0.000  0.000
O  0.746  0.000  0.500
O  0.748  0.500  0.000
O  0.749  0.500  0.500
O  0.750  0.250  0.250
O  0.750  0.250  0.750
O  0.750  0.750  0.250
O  0.750  0.750  0.750

Q: Which value of total DFT energy (no corrections) does entry 2 give?
A: -1104.8 eV for the cell shown

Q: uncorrected formation energy of number 3 (SrMg30ZnO32)?
A: -2924 meV per atom